(1)
TaNiW2 after structural relaxation, computed with PBE.

Cell: 2.7193 2.7193 8.5796 Å, 90.00 90.00 104.00°
Positions (direct):
W  0.0000  0.0000  0.0224
Ta  0.5000  0.5000  0.7500
W  0.0000  0.0000  0.4776
Ni  0.5000  0.5000  0.2500

Calculated values
Crystal system   orthorhombic
E_tot   -0.79760 Ry/atom
ΔE to the lowest computed polymorph   47.4 meV/atom

---

(2)
MoAs3Ru after structural relaxation, computed with PBE.

Cell: 4.7607 4.7607 4.7607 Å, 90.00 90.00 90.00°
Positions (direct):
As  0.5000  0.0000  0.0000
Ru  0.0000  0.0000  0.0000
As  0.0000  0.5000  0.0000
As  0.0000  0.0000  0.5000
Mo  0.5000  0.5000  0.5000

Calculated values
Crystal system   cubic
E_tot   -0.42738 Ry/atom
ΔE to the lowest computed polymorph   0.0 meV/atom

---

(3)
Pr3Ag2Rh after structural relaxation, computed with PBE.

Cell: 6.0500 8.1822 7.8584 Å, 105.01 112.64 90.00°
Positions (direct):
Rh  0.0002  0.2500  0.0000
Ag  0.6810  0.5899  0.3598
Ag  0.3190  0.4101  0.6402
Ag  0.3213  0.9101  0.6402
Pr  0.1403  0.0703  0.2828
Rh  0.9998  0.7500  0.0000
Pr  0.8575  0.4297  0.7172
Pr  0.5001  0.2500  0.0000
Ag  0.6787  0.0899  0.3598
Pr  0.1425  0.5703  0.2828
Pr  0.8597  0.9297  0.7172
Pr  0.4999  0.7500  0.0000

Calculated values
Crystal system   monoclinic
E_tot   -0.35596 Ry/atom
ΔE to the lowest computed polymorph   95.8 meV/atom

---

(4)
BeMo2Br after structural relaxation, computed with PBE.

Cell: 4.6191 4.6191 4.6489 Å, 75.57 75.57 38.78°
Positions (direct):
Br  0.2455  0.2455  0.2464
Mo  0.0003  0.0003  0.0003
Be  0.4922  0.4922  0.5735
Mo  0.7621  0.7621  0.6799

Calculated values
Crystal system   monoclinic
E_tot   -0.44811 Ry/atom
ΔE to the lowest computed polymorph   354.4 meV/atom
E_form (uncorrected)   668 meV/atom

---

(5)
La2UTe4 after structural relaxation, computed with PBE.

Cell: 8.2758 8.2758 8.2758 Å, 109.36 109.36 109.70°
Positions (direct):
U  0.2500  0.7500  0.5000
La  0.7498  0.3750  0.8748
Te  0.3689  0.1183  0.9000
Te  0.2183  0.4689  0.1000
U  0.0000  0.0000  0.0000
Te  0.8817  0.7817  0.2506
Te  0.8811  0.2811  0.2494
Te  0.5311  0.6311  0.7494
La  0.1250  0.2502  0.6252
La  0.6250  0.4998  0.3748
Te  0.0317  0.6317  0.7506
Te  0.3683  0.1189  0.4000
La  0.5002  0.8750  0.1252
Te  0.7189  0.9683  0.6000

Calculated values
Crystal system   tetragonal
E_tot   -0.44546 Ry/atom
E_form (uncorrected)   -1245 meV/atom

---

(6)
LiZrS2 after structural relaxation, computed with PBE.

Cell: 5.7925 5.7925 6.8612 Å, 65.03 65.03 90.00°
Positions (direct):
S  0.1303  0.6250  0.2500
Li  0.5000  0.5000  0.0000
S  0.3750  0.3803  0.7500
S  0.6197  0.1250  0.2500
S  0.8750  0.8697  0.7500
Zr  0.0000  0.0000  0.0000
Zr  0.7500  0.2500  0.5000
Li  0.2500  0.7500  0.5000

Calculated values
Crystal system   tetragonal
E_tot   -0.43337 Ry/atom
E_form (uncorrected)   -1217 meV/atom

---

(7)
AcPm3Nd2N6 after structural relaxation, computed with PBE.

Cell: 6.3758 6.3758 6.3698 Å, 99.58 99.58 120.01°
Positions (direct):
N  0.7417  0.7417  0.2552
Pm  0.5000  0.5000  0.5000
N  0.4286  0.0858  0.2569
N  0.2583  0.2583  0.7448
Pm  0.1694  0.8306  0.5000
Ac  0.0000  0.0000  0.0000
N  0.0858  0.4286  0.2569
Pm  0.8306  0.1694  0.5000
Nd  0.6661  0.3339  0.0000
N  0.5714  0.9142  0.7431
N  0.9142  0.5714  0.7431
Nd  0.3339  0.6661  0.0000

Calculated values
Crystal system   monoclinic
E_tot   -0.57403 Ry/atom
E_form (uncorrected)   -1323 meV/atom

---

(8)
Sm3CdHg5 after structural relaxation, computed with PBE.

Cell: 6.4061 9.1092 9.1095 Å, 120.00 90.00 90.00°
Positions (direct):
Hg  0.2500  0.0000  0.6836
Hg  0.7500  0.3164  0.0000
Hg  0.5000  0.3333  0.6667
Sm  0.2500  0.0000  0.3478
Hg  0.0000  0.6667  0.3333
Hg  0.2500  0.3164  0.3164
Cd  0.5000  0.0000  0.0000
Sm  0.7500  0.6521  0.0000
Hg  0.5000  0.6667  0.3333
Sm  0.7500  0.3479  0.3478
Sm  0.2500  0.3479  0.0000
Cd  0.0000  0.0000  0.0000
Hg  0.7500  0.0000  0.3164
Sm  0.2500  0.6521  0.6522
Hg  0.2500  0.6836  0.0000
Hg  0.0000  0.3333  0.6667
Hg  0.7500  0.6836  0.6836
Sm  0.7500  0.0000  0.6522

Calculated values
Crystal system   hexagonal
E_tot   -0.16730 Ry/atom

---

(9)
LiPS2 after structural relaxation, computed with PBE.

Cell: 7.4006 3.6947 7.9823 Å, 87.57 63.11 99.55°
Positions (direct):
S  0.6456  0.2227  0.8257
P  0.3291  0.1371  0.9725
S  0.0140  0.4519  0.4074
S  0.4123  0.5591  0.5199
Li  0.6971  0.7659  0.5936
Li  0.1951  0.9860  0.5223
P  0.2869  0.6178  0.1690
S  0.5308  0.7978  0.2425

Calculated values
Crystal system   triclinic
E_tot   -0.32150 Ry/atom
E_form (uncorrected)   -480 meV/atom

---

(10)
La2MnIn after structural relaxation, computed with PBE.

Cell: 5.9266 5.9266 5.9266 Å, 133.15 133.15 68.42°
Positions (direct):
La  0.0000  0.0000  0.0000
La  0.2500  0.7500  0.5000
In  0.7500  0.2500  0.5000
Mn  0.5000  0.5000  0.0000

Calculated values
Crystal system   tetragonal
E_tot   -0.40133 Ry/atom

---

(11)
HfNiH2 after structural relaxation, computed with PBE.

Cell: 3.4454 3.8939 5.6014 Å, 90.00 107.77 90.00°
Positions (direct):
Hf  0.3521  0.7500  0.7052
H  0.7488  0.7500  0.4964
H  0.2512  0.2500  0.5036
Hf  0.6479  0.2500  0.2948
H  0.4429  0.2500  0.8873
Ni  0.0710  0.7500  0.1395
H  0.5571  0.7500  0.1127
Ni  0.9290  0.2500  0.8605

Calculated values
Crystal system   monoclinic
E_tot   -0.44021 Ry/atom
ΔE to the lowest computed polymorph   0.0 meV/atom

---

(12)
Dy3Er2Sc7 after structural relaxation, computed with PBE.

Cell: 3.4978 5.2678 18.9611 Å, 90.00 95.29 90.00°
Positions (direct):
Sc  0.0675  0.5000  0.1345
Sc  0.0000  0.0000  0.0000
Sc  0.4180  0.0000  0.8363
Dy  0.5000  0.5000  0.0000
Sc  0.2835  0.5000  0.5672
Dy  0.8273  0.0000  0.6550
Sc  0.7165  0.5000  0.4328
Dy  0.1727  0.0000  0.3450
Sc  0.5820  0.0000  0.1637
Er  0.6368  0.5000  0.2731
Er  0.3632  0.5000  0.7269
Sc  0.9325  0.5000  0.8655

Calculated values
Crystal system   monoclinic
E_tot   -0.39297 Ry/atom